Record 1
The following is a DFT calculation (PBE) of SrLa2FeN4 after structural relaxation.

## Properties
* DOS at the Fermi energy: 0.46 states/eV/atom
* formation energy from raw total energies: -0.797 eV/atom
* space group: No. 63
* V: 17.3 Å³ per atom
* energy: -119.3 eV/cell

Cell and atoms, written as POSCAR:
```
SrLa2FeN4
1.0
1.815 -6.188 0.000
1.815 6.188 0.000
0.000 0.000 12.311
Sr La Fe N
2 4 2 8
Direct
0.112 0.888 0.750 Sr
0.888 0.112 0.250 Sr
0.369 0.631 0.545 La
0.369 0.631 0.955 La
0.631 0.369 0.045 La
0.631 0.369 0.455 La
0.181 0.819 0.250 Fe
0.819 0.181 0.750 Fe
0.000 0.000 0.000 N
0.000 0.000 0.500 N
0.263 0.737 0.129 N
0.263 0.737 0.371 N
0.378 0.622 0.750 N
0.622 0.378 0.250 N
0.737 0.263 0.629 N
0.737 0.263 0.871 N
```



Record 2
The following is a DFT calculation (PBE) of RbReRh3 after structural relaxation.

## Properties
* energy relative to the lowest polymorph listed for this composition: 0.000 eV per atom
* DOS at the Fermi energy: 0.67 states/eV/atom
* space group: No. 221
* DFT formation energy: 4.59 eV per formula unit
* V: 22.5 Å³ per atom
* energy: -30.9 eV/cell

Cell and atoms, written as POSCAR:
```
RbReRh3
1.0
4.830 0.000 0.000
0.000 4.830 0.000
0.000 0.000 4.830
Rb Re Rh
1 1 3
Direct
0.000 0.000 0.000 Rb
0.500 0.500 0.500 Re
0.000 0.500 0.500 Rh
0.500 0.000 0.500 Rh
0.500 0.500 0.000 Rh
```



Record 3
The following is a DFT calculation (PBE) of TmHf2H after structural relaxation.

## Properties
* DOS at the Fermi energy: 0.92 states/eV/atom
* space group: No. 166
* V: 19.3 Å³ per atom
* energy: -27.2 eV/cell

Cell and atoms, written as POSCAR:
```
TmHf2H
1.0
1.610 0.929 8.596
-1.610 0.929 8.596
0.000 -1.859 8.596
Tm Hf H
1 2 1
Direct
0.000 0.000 0.000 Tm
0.119 0.119 0.119 Hf
0.881 0.881 0.881 Hf
0.500 0.500 0.500 H
```



Record 4
The following is a DFT calculation (PBE) of Mg2ScHgO after structural relaxation.

## Properties
* DOS at the Fermi energy: 0.57 states/eV/atom
* formation energy from raw total energies: -1.191 eV/atom
* space group: No. 123
* V: 16.7 Å³ per atom
* energy: -20.7 eV/cell

Cell and atoms, written as POSCAR:
```
Mg2ScHgO
1.0
4.371 0.000 0.000
0.000 4.371 0.000
0.000 0.000 4.375
Mg Sc Hg O
2 1 1 1
Direct
0.000 0.500 0.000 Mg
0.500 0.000 0.000 Mg
0.000 0.000 0.500 Sc
0.500 0.500 0.500 Hg
0.000 0.000 0.000 O
```



Record 5
The following is a DFT calculation (PBE) of TaNbAg3 after structural relaxation.

## Properties
* energy relative to the lowest polymorph listed for this composition: 0.000 eV per atom
* DOS at the Fermi energy: 1.28 states/eV/atom
* space group: No. 221
* DFT formation energy: 9.59 eV per formula unit
* V: 24.4 Å³ per atom
* energy: -20.9 eV/cell

Cell and atoms, written as POSCAR:
```
TaNbAg3
1.0
4.958 0.000 0.000
0.000 4.958 0.000
0.000 0.000 4.958
Ta Nb Ag
1 1 3
Direct
0.000 0.000 0.000 Ta
0.500 0.500 0.500 Nb
0.000 0.000 0.500 Ag
0.000 0.500 0.000 Ag
0.500 0.000 0.000 Ag
```